First-principles (PBE) data for a relaxed structure of Pr4Zn5Ru2, as listed in the Alexandria database.

Cell lengths 7.152, 4.255, 8.524 Å; angles 90.00, 91.68, 90.00 degrees
Space group P2/m (No. 10)
Asymmetric unit:
1 Pr 0.209 0.000 0.160
2 Pr 0.245 0.000 0.618
3 Zn 0.151 0.500 0.889
4 Zn 0.412 0.500 0.367
5 Zn 0.500 0.500 0.000
6 Ru 0.048 0.500 0.364

Total moment, μB per atom: 0.00
D(E_F), states/eV per cell: 8.4
Calculated total energy, eV/cell: -46.63
Energy relative to the elements, eV per atom: -0.24